! Pm2DyTlO | the Alexandria database | GGA-PBE | optimized geometry; values from VASP
! Symmetry: P4/mmm, No. 123
! N(E_F), states/eV/cell: 1.8
! DFT total energy, eV per atom: -5.643
! ΔE_f (raw), kJ/mol of formula units: -655
&SYSTEM
  ibrav = 0, nat = 5, ntyp = 4
/
ATOMIC_SPECIES
Dy 162.50 Dy.upf
Pm 145.00 Pm.upf
O 16.00 O.upf
Tl 204.38 Tl.upf
ATOMIC_POSITIONS crystal
Dy 0.5000 0.0000 0.0000
Pm 0.0000 0.5000 0.0000
Pm 0.0000 0.0000 0.5000
O 0.0000 0.0000 0.0000
Tl 0.5000 0.5000 0.5000
CELL_PARAMETERS angstrom
4.7651 0.0000 0.0000
0.0000 4.9610 0.0000
0.0000 0.0000 4.9610